Record 1
NaAcMg10 after structural relaxation, computed with PBE-GGA.

Summary:
Crystal system: orthorhombic
Size of the total moment: 0.0 μB/cell
Electronic total energy: -1.767 eV/atom

Cell and atoms, written as CIF:
```
data_NaAcMg10
_space_group_name_H-M_alt 'P m m m'
_space_group_IT_number 47
_cell_length_a 5.077
_cell_length_b 6.033
_cell_length_c 10.717
_cell_angle_alpha 90.00
_cell_angle_beta 90.00
_cell_angle_gamma 90.00
loop_
_space_group_symop_operation_xyz
'x,y,z'
'-x,-y,-z'
'-x,-y,z'
'x,y,-z'
'x,-y,-z'
'-x,y,z'
'-x,y,-z'
'x,-y,z'
loop_
_atom_site_label
_atom_site_fract_x
_atom_site_fract_y
_atom_site_fract_z
_atom_site_occupancy
Na1 0.000 0.000 0.000 1
Ac1 0.000 0.500 0.500 1
Mg1 0.000 0.000 0.323 1
Mg2 0.000 0.500 0.162 1
Mg3 0.500 0.000 0.500 1
Mg4 0.500 0.257 0.258 1
Mg5 0.500 0.500 0.000 1
```



Record 2
Sr2TlI5 after structural relaxation, computed with PBE-GGA.

Summary:
E above lowest polymorph: 0.048 eV per atom
Crystal system: orthorhombic
Size of the total moment: 0.0 μB/cell
Formation energy without anion corrections: -1377 meV per atom

Cell and atoms, written as CIF:
```
data_Sr2TlI5
_space_group_name_H-M_alt 'I m m m'
_space_group_IT_number 71
_space_group_name_Hall '-I 2 2'
_cell_length_a 4.934
_cell_length_b 8.351
_cell_length_c 17.209
_cell_angle_alpha 90.00
_cell_angle_beta 90.00
_cell_angle_gamma 90.00
loop_
_atom_site_label
_atom_site_fract_x
_atom_site_fract_y
_atom_site_fract_z
_atom_site_occupancy
Sr1 0.000 0.000 0.187 1
Tl1 0.000 0.500 0.000 1
I1 0.000 0.000 0.000 1
I2 0.000 0.234 0.349 1
```



Record 3
SrY3B after structural relaxation, computed with PBE-GGA.

Summary:
E above lowest polymorph: 2.011 eV per atom
Crystal system: cubic
Size of the total moment: 0.0 μB/cell

Cell and atoms, written as CIF:
```
data_SrY3B
_space_group_name_H-M_alt 'P m -3 m'
_space_group_IT_number 221
_space_group_name_Hall '-P 4 2 3'
_cell_length_a 5.573
_cell_length_b 5.573
_cell_length_c 5.573
_cell_angle_alpha 90.00
_cell_angle_beta 90.00
_cell_angle_gamma 90.00
loop_
_atom_site_label
_atom_site_fract_x
_atom_site_fract_y
_atom_site_fract_z
_atom_site_occupancy
Sr1 0.000 0.000 0.000 1
Y1 0.000 0.000 0.500 1
B1 0.500 0.500 0.500 1
```



Record 4
Li2GeBiAu4 after structural relaxation, computed with PBE-GGA.

Summary:
Crystal system: trigonal
Size of the total moment: 0.0 μB/cell
Electronic total energy: -3.475 eV/atom

Cell and atoms, written as CIF:
```
data_Li2GeBiAu4
_space_group_name_H-M_alt 'R -3 m'
_space_group_IT_number 166
_space_group_name_Hall '-R 3 2"'
_cell_length_a 4.6595
_cell_length_b 4.6595
_cell_length_c 23.9610
_cell_angle_alpha 90.00
_cell_angle_beta 90.00
_cell_angle_gamma 120.00
loop_
_atom_site_label
_atom_site_fract_x
_atom_site_fract_y
_atom_site_fract_z
_atom_site_occupancy
Li1 0.0000 0.0000 0.2482 1
Ge1 0.0000 0.0000 0.5000 1
Bi1 0.0000 0.0000 0.0000 1
Au1 0.0000 0.0000 0.1314 1
Au2 0.0000 0.0000 0.3892 1
```



Record 5
ZnCdRu2 after structural relaxation, computed with PBE-GGA.

Summary:
Crystal system: orthorhombic
Size of the total moment: 2.6 μB/cell
Electronic total energy: -4.860 eV/atom

Cell and atoms, written as CIF:
```
data_ZnCdRu2
_space_group_name_H-M_alt 'C m m 2'
_space_group_IT_number 35
_cell_length_a 2.862
_cell_length_b 4.755
_cell_length_c 9.398
_cell_angle_alpha 90.00
_cell_angle_beta 90.00
_cell_angle_gamma 90.00
loop_
_space_group_symop_operation_xyz
'x,y,z'
'-x,-y,z'
'-x,y,z'
'x,-y,z'
'x+1/2,y+1/2,z'
'-x+1/2,-y+1/2,z'
'-x+1/2,y+1/2,z'
'x+1/2,-y+1/2,z'
loop_
_atom_site_label
_atom_site_fract_x
_atom_site_fract_y
_atom_site_fract_z
_atom_site_occupancy
Zn1 0.000 0.000 0.000 1
Cd1 0.000 0.500 0.727 1
Ru1 0.000 0.000 0.461 1
Ru2 0.000 0.500 0.233 1
```



Record 6
LaAs2SeBr after structural relaxation, computed with PBE-GGA.

Summary:
E above lowest polymorph: 0.000 eV per atom
Crystal system: tetragonal
Size of the total moment: 0.0 μB/cell
Formation energy without anion corrections: -192 meV per atom

Cell and atoms, written as CIF:
```
data_LaAs2SeBr
_space_group_name_H-M_alt 'P 4/m m m'
_space_group_IT_number 123
_space_group_name_Hall '-P 4 2'
_cell_length_a 5.066
_cell_length_b 5.066
_cell_length_c 5.283
_cell_angle_alpha 90.00
_cell_angle_beta 90.00
_cell_angle_gamma 90.00
loop_
_atom_site_label
_atom_site_fract_x
_atom_site_fract_y
_atom_site_fract_z
_atom_site_occupancy
La1 0.000 0.000 0.000 1
As1 0.000 0.500 0.500 1
Se1 0.500 0.500 0.500 1
Br1 0.500 0.500 0.000 1
```



Record 7
BaTaTc2 after structural relaxation, computed with PBE-GGA.

Summary:
E above lowest polymorph: 0.120 eV per atom
Crystal system: tetragonal
Size of the total moment: 0.0 μB/cell

Cell and atoms, written as CIF:
```
data_BaTaTc2
_space_group_name_H-M_alt 'P 4 m m'
_space_group_IT_number 99
_cell_length_a 3.379
_cell_length_b 3.379
_cell_length_c 8.074
_cell_angle_alpha 90.00
_cell_angle_beta 90.00
_cell_angle_gamma 90.00
loop_
_space_group_symop_operation_xyz
'x,y,z'
'-y,x,z'
'-x,-y,z'
'y,-x,z'
'-x,y,z'
'y,x,z'
'x,-y,z'
'-y,-x,z'
loop_
_atom_site_label
_atom_site_fract_x
_atom_site_fract_y
_atom_site_fract_z
_atom_site_occupancy
Ba1 0.000 0.000 0.000 1
Ta1 0.500 0.500 0.365 1
Tc1 0.000 0.000 0.525 1
Tc2 0.500 0.500 0.668 1
```



Record 8
Pr3ZnIn after structural relaxation, computed with PBE-GGA.

Summary:
E above lowest polymorph: 0.087 eV per atom
Crystal system: monoclinic
Size of the total moment: 0.0 μB/cell

Cell and atoms, written as CIF:
```
data_Pr3ZnIn
_space_group_name_H-M_alt 'P 1 21/c 1'
_space_group_IT_number 14
_cell_length_a 9.942
_cell_length_b 6.433
_cell_length_c 11.157
_cell_angle_alpha 90.00
_cell_angle_beta 122.91
_cell_angle_gamma 90.00
loop_
_space_group_symop_operation_xyz
'x,y,z'
'-x,-y,-z'
'-x,y+1/2,-z+1/2'
'x,-y+1/2,z+1/2'
loop_
_atom_site_label
_atom_site_fract_x
_atom_site_fract_y
_atom_site_fract_z
_atom_site_occupancy
Pr1 0.022 0.068 0.310 1
Pr2 0.353 0.135 0.715 1
Pr3 0.370 0.685 0.911 1
Zn1 0.302 0.117 0.961 1
In1 0.150 0.648 0.556 1
```